DFT (GGA-PBE) results for PmSc4PbS8 after structural relaxation.

space-group type: R3m, No. 160
VASP energy: -0.4711 Ry/atom
crystal system: trigonal
uncorrected formation energy: -1637 meV/atom
V: 344.4 Å³ per cell

Cell lengths 8.014, 8.014, 8.014 Å; angles 57.66, 57.66, 57.66 degrees
Element x y z (fractional)
Pm  0.000  0.000  0.000
Sc  0.497  0.999  0.999
Sc  0.626  0.626  0.626
Sc  0.999  0.497  0.999
Sc  0.999  0.999  0.497
Pb  0.367  0.367  0.367
S  0.227  0.227  0.227
S  0.234  0.746  0.746
S  0.247  0.247  0.789
S  0.247  0.789  0.247
S  0.746  0.234  0.746
S  0.746  0.746  0.234
S  0.756  0.756  0.756
S  0.789  0.247  0.247